[1]
Compound: LiBeBr2
Source: Alexandria
Functional: PBEsol
Structure: optimized geometry Values from VASP.

```
&SYSTEM
  ibrav = 0, nat = 4, ntyp = 3
/
ATOMIC_SPECIES
Li 6.94 Li.upf
Be 9.01 Be.upf
Br 79.90 Br.upf
CELL_PARAMETERS angstrom
3.369 0.000 0.000
0.000 3.369 0.000
0.000 0.000 6.722
ATOMIC_POSITIONS crystal
Li 0.000 0.000 0.000
Be 0.000 0.000 0.500
Br 0.500 0.500 0.254
Br 0.500 0.500 0.746
```

uncorrected formation energy: -0.20 eV per atom
space-group type: P4/mmm, No. 123
calculated volume: 76.3 Å³/f.u.

[2]
Compound: Li2BeBr
Source: Alexandria
Functional: PBEsol
Structure: optimized geometry Values from VASP.

```
&SYSTEM
  ibrav = 0, nat = 4, ntyp = 3
/
ATOMIC_SPECIES
Li 6.94 Li.upf
Be 9.01 Be.upf
Br 79.90 Br.upf
CELL_PARAMETERS angstrom
3.318 0.000 0.000
0.000 3.316 0.000
-0.010 0.000 5.764
ATOMIC_POSITIONS crystal
Li 0.001 0.000 0.229
Li 0.999 0.000 0.771
Be 0.500 0.500 0.000
Br 0.500 0.500 0.500
```

uncorrected formation energy: -0.24 eV per atom
space-group type: P2/m, No. 10
calculated volume: 63.4 Å³/f.u.

[3]
Compound: LiBe2Br
Source: Alexandria
Functional: PBEsol
Structure: optimized geometry Values from VASP.

```
&SYSTEM
  ibrav = 0, nat = 4, ntyp = 3
/
ATOMIC_SPECIES
Li 6.94 Li.upf
Be 9.01 Be.upf
Br 79.90 Br.upf
CELL_PARAMETERS angstrom
3.183 0.000 0.000
0.000 3.183 0.000
0.000 0.000 6.394
ATOMIC_POSITIONS crystal
Li 0.000 0.000 0.000
Be 0.000 0.000 0.419
Be 0.500 0.500 0.450
Br 0.500 0.500 0.831
```

uncorrected formation energy: 0.09 eV per atom
space-group type: P4mm, No. 99
calculated volume: 64.8 Å³/f.u.

[4]
Compound: LiBeBr2
Source: Alexandria
Functional: PBEsol
Structure: optimized geometry Values from VASP.

```
&SYSTEM
  ibrav = 0, nat = 4, ntyp = 3
/
ATOMIC_SPECIES
Li 6.94 Li.upf
Be 9.01 Be.upf
Br 79.90 Br.upf
CELL_PARAMETERS angstrom
1.716 0.990 10.011
-1.716 0.990 10.011
0.000 -1.981 10.011
ATOMIC_POSITIONS crystal
Li 0.000 0.000 0.000
Be 0.500 0.500 0.500
Br 0.121 0.121 0.121
Br 0.879 0.879 0.879
```

uncorrected formation energy: -0.46 eV per atom
space-group type: R-3m, No. 166
calculated volume: 102.1 Å³/f.u.

- Which of these has the highest calculated volume?
  number 4

- Which formula does entry 4 have?
  LiBeBr2

Please write out number 2 again, unchanged.
Compound: Li2BeBr
Source: Alexandria
Functional: PBEsol
Structure: optimized geometry Values from VASP.

```
&SYSTEM
  ibrav = 0, nat = 4, ntyp = 3
/
ATOMIC_SPECIES
Li 6.94 Li.upf
Be 9.01 Be.upf
Br 79.90 Br.upf
CELL_PARAMETERS angstrom
3.318 0.000 0.000
0.000 3.316 0.000
-0.010 0.000 5.764
ATOMIC_POSITIONS crystal
Li 0.001 0.000 0.229
Li 0.999 0.000 0.771
Be 0.500 0.500 0.000
Br 0.500 0.500 0.500
```

uncorrected formation energy: -0.24 eV per atom
space-group type: P2/m, No. 10
calculated volume: 63.4 Å³/f.u.